A relaxed Ti2Ir2Ru crystal. Source: Alexandria via LeMat-Bulk, functional PBE-GGA.

Lattice parameters (Å, degrees): 7.282 7.282 2.925 90.00 90.00 90.00
Atoms (fractional coordinates):
Ti: 0.166 0.334 0.000
Ti: 0.334 0.834 0.000
Ti: 0.666 0.166 0.000
Ti: 0.834 0.666 0.000
Ir: 0.134 0.634 0.500
Ir: 0.366 0.134 0.500
Ir: 0.634 0.866 0.500
Ir: 0.866 0.366 0.500
Ru: 0.000 0.000 0.500
Ru: 0.500 0.500 0.500

Results
* VASP energy: -8.9955 eV/atom
* volume: 15.5 Å³ per atom
* crystal system: tetragonal
* total magnetic moment: 0.01 Bohr magnetons per cell
* DOS(E_F): 14.106 states/eV/cell



A relaxed TiIrRu crystal. Source: Alexandria via LeMat-Bulk, functional PBE-GGA.

Lattice parameters (Å, degrees): 5.136 5.136 5.136 130.68 116.30 84.55
Atoms (fractional coordinates):
Ti: 0.175 0.175 0.000
Ti: 0.825 0.825 0.000
Ir: 0.251 0.500 0.751
Ir: 0.749 0.500 0.249
Ru: 0.335 0.835 0.500
Ru: 0.665 0.165 0.500

Results
* VASP energy: -9.0503 eV/atom
* volume: 14.7 Å³ per atom
* crystal system: orthorhombic
* total magnetic moment: 0.00 Bohr magnetons per cell
* energy above the most stable polymorph in this dataset: 108.2 meV/atom
* DOS(E_F): 5.819 states/eV/cell



A relaxed Ti2Ir5Ru crystal. Source: Alexandria via LeMat-Bulk, functional PBE-GGA.

Lattice parameters (Å, degrees): 5.466 10.934 3.887 90.00 90.00 90.00
Atoms (fractional coordinates):
Ti: 0.250 0.124 0.000
Ti: 0.250 0.624 0.000
Ti: 0.750 0.376 0.000
Ti: 0.750 0.876 0.000
Ir: 0.000 0.000 0.500
Ir: 0.001 0.750 0.500
Ir: 0.248 0.376 0.000
Ir: 0.252 0.876 0.000
Ir: 0.499 0.250 0.500
Ir: 0.500 0.500 0.500
Ir: 0.501 0.750 0.500
Ir: 0.748 0.124 0.000
Ir: 0.752 0.624 0.000
Ir: 0.999 0.250 0.500
Ru: 0.000 0.500 0.500
Ru: 0.500 0.000 0.500

Results
* VASP energy: -9.3026 eV/atom
* volume: 14.5 Å³ per atom
* crystal system: orthorhombic
* total magnetic moment: 0.00 Bohr magnetons per cell
* DOS(E_F): 19.903 states/eV/cell



Question: Which of these has the highest total magnetic moment?
Answer: Ti2Ir2Ru



Question: What is the DOS(E_F) in the second record?
Answer: 5.819 states/eV/cell